DFT (GGA-PBE) results for an optimized crystal structure of Ac2LaYO6.

POSCAR file:
```
Ac2LaYO6
1.0
6.121 0.000 -0.033
0.000 6.332 0.000
0.007 0.000 8.932
Ac La Y O
4 2 2 12
Direct
0.017 0.952 0.252
0.517 0.548 0.752
0.983 0.048 0.748
0.483 0.452 0.248
0.500 0.000 0.000
0.000 0.500 0.500
0.500 0.000 0.500
0.000 0.500 0.000
0.299 0.690 0.068
0.799 0.810 0.568
0.701 0.310 0.932
0.201 0.190 0.432
0.311 0.704 0.424
0.811 0.796 0.924
0.689 0.296 0.576
0.189 0.204 0.076
0.869 0.565 0.241
0.369 0.935 0.741
0.131 0.435 0.759
0.631 0.065 0.259
```

E_form (uncorrected), eV per atom: -3.37
Crystal system: monoclinic
Magnetic moment, μB/atom: 0.000
Electronic total energy, eV/cell: -166.2